{
  "formula": "Na2TbInBi2",
  "functional": "PBE",
  "state": "optimized geometry",
  "dos_at_fermi_per_ev_cell": 5.68,
  "formation_enthalpy_0k_kj_per_mol_fu": -207,
  "dft_energy_ev_per_atom": -3.32,
  "spacegroup": "No. 26",
  "lattice": [[-2.5420, 3.5315, 2.5446], [-5.7008, -3.9208, -0.2537], [2.5930, -4.3263, 8.5945]],
  "species": ["In", "In", "Na", "Na", "Na", "Na", "Bi", "Bi", "Bi", "Bi", "Tb", "Tb"],
  "frac_coords": [[0.5000, 0.2387, 0.6516], [0.5000, 0.7387, 0.3484], [0.5000, 0.0165, 0.0027], [0.0000, 0.2714, 0.1523], [0.0000, 0.7714, 0.8477], [0.5000, 0.5165, 0.9973], [0.5000, 0.7511, 0.6634], [0.5000, 0.2511, 0.3366], [0.0000, 0.2664, 0.8206], [0.0000, 0.7664, 0.1794], [0.0000, 0.0014, 0.4958], [0.0000, 0.5014, 0.5042]]
}